Compound: CePuNiO6
Source: the Alexandria database
Functional: PBE+U
Structure: optimized geometry

The value obtained for the total energy is -8.28 eV/atom.

The structure belongs to space group P-31c (No. 163); the cell edges are 5.3042, 5.3042 and 10.0725 Å and the angles 90.00°, 90.00° and 120.00°. The inequivalent atoms are Ce at (0.0000, 0.0000, 0.0000), Pu at (0.3333, 0.6667, 0.2500), Ni at (0.3333, 0.6667, 0.7500) and O at (0.0037, 0.3485, 0.1362).